Compound: TmPu4Sb5
Source: Alexandria via LeMat-Bulk
Functional: PBE
Structure: relaxed

a = 4.4152 Å, b = 7.6164 Å, c = 9.8620 Å
α = 75.19°, β = 77.06°, γ = 73.15°
Each line ends with the local moment (μB).
Sites, in units of the cell vectors:
Sb 0.0000 0.5000 0.5000  0.04
Pu 0.3989 0.8013 0.4010  -5.23
Pu 0.6011 0.1987 0.5990  -5.23
Sb 0.8011 0.1009 0.2970  0.02
Sb 0.4020 0.2945 0.9016  -0.04
Sb 0.5980 0.7055 0.0984  -0.04
Pu 0.1991 0.4046 0.1972  5.24
Tm 0.0000 0.0000 0.0000  -0.03
Pu 0.8009 0.5954 0.8028  5.24
Sb 0.1989 0.8991 0.7030  0.02

## Properties
magnetic moment: 0.04 μB/f.u.
SG: No. 12



Compound: TmPu5Sb6
Source: Alexandria via LeMat-Bulk
Functional: PBE
Structure: relaxed

a = 7.6353 Å, b = 7.6349 Å, c = 7.6353 Å
α = 60.00°, β = 80.40°, γ = 70.52°
Each line ends with the local moment (μB).
Sites, in units of the cell vectors:
Sb 0.7521 0.0824 0.3316  0.13
Pu 0.5000 0.8324 0.3353  -5.11
Pu 0.0000 0.3338 0.3324  -5.09
Pu 0.5000 0.5000 0.0000  -5.12
Sb 0.7521 0.4140 0.6684  0.13
Sb 0.7503 0.7522 0.0000  0.13
Tm 0.0000 0.0000 0.0000  0.13
Sb 0.2479 0.9176 0.6684  0.13
Pu 0.5000 0.1676 0.6647  -5.11
Sb 0.2479 0.5860 0.3316  0.13
Sb 0.2497 0.2478 0.0000  0.13
Pu 0.0000 0.6662 0.6676  -5.09

## Properties
magnetic moment: 25.14 μB/f.u.
SG: No. 12



Compound: TmPu2Sb3
Source: Alexandria via LeMat-Bulk
Functional: PBE
Structure: relaxed

a = 4.3969 Å, b = 6.2136 Å, c = 7.6052 Å
α = 114.11°, β = 106.80°, γ = 90.00°
Each line ends with the local moment (μB).
Sites, in units of the cell vectors:
Sb 0.3351 0.3351 0.6702  -0.10
Sb 0.6649 0.6649 0.3298  -0.10
Pu 0.3329 0.8329 0.6659  5.13
Pu 0.6671 0.1671 0.3341  5.13
Tm 0.0000 0.5000 0.0000  -0.09
Sb 0.0000 0.0000 0.0000  -0.11

## Properties
magnetic moment: 10.09 μB/f.u.
SG: No. 71



Compound: Tm5PuSb4
Source: Alexandria via LeMat-Bulk
Functional: PBE
Structure: relaxed

a = 4.2920 Å, b = 8.3063 Å, c = 9.4920 Å
α = 105.57°, β = 103.07°, γ = 90.00°
Each line ends with the local moment (μB).
Sites, in units of the cell vectors:
Sb 0.0104 0.2629 0.0208  -0.04
Tm 0.1801 0.3524 0.3602  0.04
Pu 0.5000 0.0000 0.0000  5.25
Tm 0.8199 0.6476 0.6398  0.04
Sb 0.6718 0.0879 0.3436  -0.02
Sb 0.9896 0.7371 0.9792  -0.04
Tm 0.8392 0.1814 0.6784  0.04
Tm 0.5000 0.5000 0.0000  0.03
Tm 0.1608 0.8186 0.3216  0.04
Sb 0.3282 0.9121 0.6564  -0.02

## Properties
magnetic moment: 5.74 μB/f.u.
SG: No. 12



Compound: TmPuU2Sb4
Source: Alexandria via LeMat-Bulk
Functional: PBE
Structure: relaxed

a = 4.3321 Å, b = 7.6561 Å, c = 7.5795 Å
α = 108.82°, β = 90.00°, γ = 90.00°
Each line ends with the local moment (μB).
Sites, in units of the cell vectors:
U 0.0000 0.5000 0.5000  -2.42
Tm 0.5000 0.5000 0.0000  -0.02
Sb 0.0000 0.7460 0.2482  -0.03
Sb 0.5000 0.7473 0.7502  -0.02
Sb 0.0000 0.2540 0.7518  -0.03
Pu 0.0000 0.0000 0.0000  5.30
Sb 0.5000 0.2527 0.2498  -0.02
U 0.5000 0.0000 0.5000  2.42

## Properties
magnetic moment: 5.47 μB/f.u.
SG: No. 10



Compound: TmPu2USb4
Source: Alexandria via LeMat-Bulk
Functional: PBE
Structure: relaxed

a = 4.3837 Å, b = 7.5915 Å, c = 7.6203 Å
α = 109.37°, β = 90.00°, γ = 90.00°
Each line ends with the local moment (μB).
Sites, in units of the cell vectors:
U 0.0000 0.0000 0.0000  2.24
Sb 0.5000 0.2505 0.2454  -0.06
Sb 0.0000 0.2516 0.7562  0.00
Tm 0.5000 0.5000 0.0000  0.02
Sb 0.5000 0.7495 0.7546  -0.06
Pu 0.5000 0.0000 0.5000  -5.27
Sb 0.0000 0.7484 0.2438  0.00
Pu 0.0000 0.5000 0.5000  5.24

## Properties
magnetic moment: 2.35 μB/f.u.
SG: No. 10



Compound: TmPuZnSb
Source: Alexandria via LeMat-Bulk
Functional: PBE
Structure: relaxed

a = 5.1719 Å, b = 5.1719 Å, c = 5.1719 Å
α = 60.00°, β = 60.00°, γ = 60.00°
Each line ends with the local moment (μB).
Sites, in units of the cell vectors:
Pu 0.7500 0.7500 0.7500  5.50
Sb 0.5000 0.5000 0.5000  -0.03
Tm 0.2500 0.2500 0.2500  0.36
Zn 0.0000 0.0000 0.0000  0.02

## Properties
magnetic moment: 6.37 μB/f.u.
SG: No. 216



Compound: Pu3USb5
Source: Alexandria via LeMat-Bulk
Functional: PBE
Structure: relaxed

a = 6.0828 Å, b = 9.5273 Å, c = 9.5273 Å
α = 120.00°, β = 90.00°, γ = 90.00°
Each line ends with the local moment (μB).
Sites, in units of the cell vectors:
Pu 0.7500 0.3848 0.0000  -5.24
Sb 0.7500 0.7200 0.0000  0.06
Sb 0.0000 0.3333 0.6667  0.08
Sb 0.2500 0.7200 0.7200  0.06
Pu 0.2500 0.3848 0.3848  -5.24
U 0.5000 0.0000 0.0000  2.25
Pu 0.2500 0.0000 0.6152  -5.24
Sb 0.2500 0.2800 0.0000  0.06
Sb 0.7500 0.0000 0.7200  0.06
Sb 0.7500 0.2800 0.2800  0.06
Pu 0.7500 0.0000 0.3848  -5.24
Sb 0.5000 0.3333 0.6667  0.08
Pu 0.7500 0.6152 0.6152  -5.24
Sb 0.0000 0.6667 0.3333  0.08
Sb 0.2500 0.0000 0.2800  0.06
Pu 0.2500 0.6152 0.0000  -5.24
U 0.0000 0.0000 0.0000  2.25
Sb 0.5000 0.6667 0.3333  0.08

## Properties
magnetic moment: 13.41 μB/f.u.
SG: No. 193



Compound: PuUSb
Source: Alexandria via LeMat-Bulk
Functional: PBE
Structure: relaxed

a = 3.8291 Å, b = 6.4852 Å, c = 6.4852 Å
α = 95.41°, β = 72.83°, γ = 72.83°
Each line ends with the local moment (μB).
Sites, in units of the cell vectors:
U 0.0000 0.8258 0.1742  0.53
U 0.0000 0.1742 0.8258  0.53
Sb 0.2523 0.2477 0.2477  -0.04
Pu 0.5000 0.6615 0.3385  4.00
Pu 0.5000 0.3385 0.6615  4.00
Sb 0.7477 0.7523 0.7523  -0.04

## Properties
magnetic moment: 4.52 μB/f.u.
SG: No. 71



Compound: PuUSb2
Source: Alexandria via LeMat-Bulk
Functional: PBE
Structure: relaxed

a = 3.9770 Å, b = 3.9770 Å, c = 6.5290 Å
α = 90.00°, β = 90.00°, γ = 90.00°
Each line ends with the local moment (μB).
Sites, in units of the cell vectors:
Sb 0.0000 0.0000 0.2464  -0.01
Pu 0.5000 0.5000 0.5000  5.40
Sb 0.0000 0.0000 0.7536  -0.01
U 0.5000 0.5000 0.0000  -2.27

## Properties
magnetic moment: 3.14 μB/f.u.
SG: No. 123



Compound: PuUSb2
Source: Alexandria via LeMat-Bulk
Functional: PBE
Structure: relaxed

a = 4.2506 Å, b = 4.2506 Å, c = 8.1454 Å
α = 74.88°, β = 74.88°, γ = 60.00°
Each line ends with the local moment (μB).
Sites, in units of the cell vectors:
Pu 0.6681 0.6681 0.9957  5.25
Sb 0.0830 0.0830 0.7509  -0.11
U 0.4990 0.4990 0.5030  2.41
Sb 0.2498 0.2498 0.2505  -0.12

## Properties
magnetic moment: 8.00 μB/f.u.
SG: No. 160



Compound: PuUSb2
Source: Alexandria via LeMat-Bulk
Functional: PBE
Structure: relaxed

a = 3.1771 Å, b = 5.7249 Å, c = 5.7249 Å
α = 90.00°, β = 90.00°, γ = 90.00°
Each line ends with the local moment (μB).
Sites, in units of the cell vectors:
Sb 0.0000 0.0000 0.5000  0.00
U 0.5000 0.0000 0.0000  -2.49
Sb 0.0000 0.5000 0.0000  0.00
Pu 0.5000 0.5000 0.5000  5.52

## Properties
magnetic moment: 3.10 μB/f.u.
SG: No. 123



Number 1: density of states at the Fermi level 55.2 states/eV/f.u., raw formation energy -0.672 eV per atom. Number 2: density of states at the Fermi level 62.4 states/eV/f.u., raw formation energy -0.668 eV per atom. Number 3: density of states at the Fermi level 25.3 states/eV/f.u., raw formation energy -0.747 eV per atom. Number 4: density of states at the Fermi level 15.5 states/eV/f.u., raw formation energy -0.567 eV per atom. Number 5: density of states at the Fermi level 25.1 states/eV/f.u., raw formation energy -0.488 eV per atom. Number 6: density of states at the Fermi level 38.0 states/eV/f.u., raw formation energy -0.594 eV per atom. Number 7: density of states at the Fermi level 11.2 states/eV/f.u., raw formation energy -0.386 eV per atom. Number 8: density of states at the Fermi level 32.6 states/eV/f.u., raw formation energy -0.550 eV per atom. Number 9: density of states at the Fermi level 5.5 states/eV/f.u., raw formation energy -0.082 eV per atom. Number 10: density of states at the Fermi level 13.5 states/eV/f.u., raw formation energy -0.334 eV per atom. Number 11: density of states at the Fermi level 16.8 states/eV/f.u., raw formation energy -0.301 eV per atom. Number 12: density of states at the Fermi level 15.8 states/eV/f.u., raw formation energy -0.330 eV per atom.